[1]
Entry from Alexandria via LeMat-Bulk: a geometry-optimized La2Sm3Pd4 structure (PBE).

Lattice parameters (Å, degrees): 7.7047 7.7428 8.2734 90.00 108.51 90.00
Fractional positions:
La1 0.1998 0.1740 0.0948
La2 0.1998 0.3260 0.5948
La3 0.8002 0.6740 0.4052
La4 0.8002 0.8260 0.9052
Sm1 0.2422 0.6624 0.2511
Sm2 0.2422 0.8376 0.7511
Sm3 0.5000 0.0000 0.5000
Sm4 0.5000 0.5000 0.0000
Sm5 0.7578 0.1624 0.2489
Sm6 0.7578 0.3376 0.7489
Pd1 0.0930 0.5379 0.8753
Pd2 0.0930 0.9621 0.3753
Pd3 0.4995 0.6311 0.6243
Pd4 0.4995 0.8689 0.1243
Pd5 0.5005 0.1311 0.8757
Pd6 0.5005 0.3689 0.3757
Pd7 0.9070 0.0379 0.6247
Pd8 0.9070 0.4621 0.1247

The value obtained for the magnetic moment is 0.0 μB per cell. As for the crystal system: monoclinic. The calculation puts the formation energy at -6.668 eV/f.u.

[2]
Entry from Alexandria via LeMat-Bulk: a geometry-optimized LaSm2Pd structure (PBE).

Lattice parameters (Å, degrees): 3.8855 9.9561 6.4693 90.00 107.47 90.00
Fractional positions:
La1 0.0720 0.2500 0.1453
La2 0.9280 0.7500 0.8547
Sm1 0.3625 0.0609 0.7251
Sm2 0.3625 0.4391 0.7251
Sm3 0.6375 0.5609 0.2749
Sm4 0.6375 0.9391 0.2749
Pd1 0.2329 0.7500 0.4653
Pd2 0.7671 0.2500 0.5347

The value obtained for the magnetic moment is 0.0 μB per cell. As for the crystal system: monoclinic. The calculation puts the formation energy at -1.627 eV/f.u. The calculation puts the energy above the lowest structure with this stoichiometry at 1.9 kJ per mole of atoms.

[3]
Entry from Alexandria via LeMat-Bulk: a geometry-optimized LaSmPd3 structure (PBE).

Lattice parameters (Å, degrees): 7.0297 8.0279 8.0374 90.00 90.00 90.00
Fractional positions:
La1 0.2203 0.1362 0.0000
La2 0.2797 0.6362 0.5000
La3 0.7203 0.3638 0.5000
La4 0.7797 0.8638 0.0000
Sm1 0.2170 0.1344 0.5000
Sm2 0.2830 0.6344 0.0000
Sm3 0.7170 0.3656 0.0000
Sm4 0.7830 0.8656 0.5000
Pd1 0.0000 0.5000 0.2419
Pd2 0.0000 0.5000 0.7581
Pd3 0.1165 0.8557 0.2522
Pd4 0.1165 0.8557 0.7478
Pd5 0.3835 0.3557 0.2478
Pd6 0.3835 0.3557 0.7522
Pd7 0.5000 0.0000 0.2581
Pd8 0.5000 0.0000 0.7419
Pd9 0.6165 0.6443 0.2478
Pd10 0.6165 0.6443 0.7522
Pd11 0.8835 0.1443 0.2522
Pd12 0.8835 0.1443 0.7478

The value obtained for the magnetic moment is 0.0 μB per cell. As for the crystal system: orthorhombic. The calculation puts the formation energy at -4.039 eV/f.u.